Density functional theory data (PBE) for an optimized crystal structure of NbRe3I.

Lattice parameters (Å, degrees): 4.8670 4.8670 4.8670 90.00 90.00 90.00
Last column: nearest neighbours and their distance in Å.
Sites, in units of the cell vectors:
I1 0.5000 0.5000 0.5000  12 Re 3.44
Re1 0.0000 0.5000 0.0000  2 Nb 2.43
Re2 0.0000 0.0000 0.5000  2 Nb 2.43
Re3 0.5000 0.0000 0.0000  2 Nb 2.43
Nb1 0.0000 0.0000 0.0000  6 Re 2.43

Results
E_form (uncorrected)	1254	kJ/mol of formula units
calculated volume	115.3	Å³ per cell
E above lowest polymorph	0.0	kJ per mole of atoms
space group	Pm-3m (221)
total DFT energy (no corrections)	-0.529	Ry per atom

Density functional theory data (PBE) for an optimized crystal structure of NbRe2I.

Lattice parameters (Å, degrees): 3.9396 3.9396 10.6374 79.33 79.33 90.00
Last column: nearest neighbours and their distance in Å.
Sites, in units of the cell vectors:
I1 0.0000 0.0000 0.0000  4 Nb 2.79, 4 Re 3.02
I2 0.7500 0.2500 0.5000  4 Nb 2.79, 4 Re 3.02
Re1 0.5602 0.1250 0.2500  2 Re 2.45
Re2 0.1898 0.6250 0.2500  2 Re 2.45
Re3 0.3750 0.4398 0.7500  2 Re 2.45
Re4 0.8750 0.8102 0.7500  2 Re 2.45
Nb1 0.5000 0.5000 0.0000  4 I 2.79, 4 Re 2.84
Nb2 0.2500 0.7500 0.5000  4 I 2.79, 4 Re 2.84

Results
E_form (uncorrected)	481	kJ/mol of formula units
calculated volume	159.3	Å³ per cell
E above lowest polymorph	21.7	kJ per mole of atoms
space group	I-42d (122)
total DFT energy (no corrections)	-0.579	Ry per atom

Density functional theory data (PBE) for an optimized crystal structure of NbRe2I2.

Lattice parameters (Å, degrees): 4.3316 4.3316 6.6533 71.00 71.00 90.00
Last column: nearest neighbours and their distance in Å.
Sites, in units of the cell vectors:
I1 0.7500 0.2500 0.5000  4 Re 2.81, 4 I 3.06
I2 0.2500 0.7500 0.5000  4 Re 2.81, 4 I 3.06
Re1 0.4011 0.4011 0.1979  1 Re 2.34
Re2 0.5989 0.5989 0.8021  1 Re 2.34
Nb1 0.0000 0.0000 0.0000  8 Re 3.28, 8 I 3.66

Results
E_form (uncorrected)	725	kJ/mol of formula units
calculated volume	110.8	Å³ per cell
E above lowest polymorph	23.7	kJ per mole of atoms
space group	I4/mmm (139)
total DFT energy (no corrections)	-0.449	Ry per atom